# PBE Ho7Cd6Hg16, relaxed
# Raw total energy   -202.39 eV/cell
# Calculated formation energy   -0.284 eV/atom
data_Ho7Cd6Hg16
_symmetry_space_group_name_H-M 'F m -3 m'
_symmetry_Int_Tables_number 225
_symmetry_space_group_name_Hall '-F 4 2 3'
_cell_length_a 14.249
_cell_length_b 14.249
_cell_length_c 14.249
_cell_angle_alpha 90.00
_cell_angle_beta 90.00
_cell_angle_gamma 90.00
loop_
_atom_site_label
_atom_site_type_symbol
_atom_site_fract_x
_atom_site_fract_y
_atom_site_fract_z
_atom_site_occupancy
Ho1 Ho 0.000 0.000 0.000 1
Ho2 Ho 0.000 0.250 0.250 1
Cd1 Cd 0.000 0.000 0.248 1
Hg1 Hg 0.123 0.123 0.377 1
Hg2 Hg 0.129 0.129 0.129 1